Entry from Alexandria via LeMat-Bulk: crystalline LiLaTbCe at its relaxed geometry (PBE).

The space group is F-43m (No. 216) and the conventional cell measures 7.769, 7.769 and 7.769 Å, with angles of 90.00, 90.00 and 90.00 degrees. Symmetry generates all atoms from Li at (0.000, 0.000, 0.000), La at (0.250, 0.250, 0.250), Tb at (0.250, 0.250, 0.750) and Ce at (0.000, 0.000, 0.500).

The formation energy from the elements comes out at 1.074 eV per formula unit. The total magnetization comes out at 11.37 Bohr magnetons per cell.

***

Entry from Alexandria via LeMat-Bulk: crystalline Ho3Tm4Zn4 at its relaxed geometry (PBE).

The space group is Immm (No. 71) and the conventional cell measures 5.039, 6.875 and 15.954 Å, with angles of 90.00, 90.00 and 90.00 degrees. Symmetry generates all atoms from Ho at (0.000, 0.000, 0.000), Ho at (0.000, 0.500, 0.102), Tm at (0.000, 0.267, 0.321), Zn at (0.000, 0.000, 0.183) and Zn at (0.000, 0.186, 0.500).

The formation energy from the elements comes out at -1.521 eV per formula unit. The total magnetization comes out at 0.00 Bohr magnetons per cell.

***

Entry from Alexandria via LeMat-Bulk: crystalline K3BeO at its relaxed geometry (PBE).

The space group is Pm-3m (No. 221) and the conventional cell measures 5.379, 5.379 and 5.379 Å, with angles of 90.00, 90.00 and 90.00 degrees. Symmetry generates all atoms from K at (0.000, 0.000, 0.500), Be at (0.500, 0.500, 0.500) and O at (0.000, 0.000, 0.000).

The excess energy over the best structure of this formula in the dataset is 0 meV/atom. The total magnetization comes out at 0.76 Bohr magnetons per cell.

***

Entry from Alexandria via LeMat-Bulk: crystalline CrNiPb2Au at its relaxed geometry (PBE).

The space group is P4/mmm (No. 123) and the conventional cell measures 5.470, 5.470 and 4.809 Å, with angles of 90.00, 90.00 and 90.00 degrees. Symmetry generates all atoms from Cr at (0.000, 0.000, 0.000), Ni at (0.500, 0.500, 0.000), Pb at (0.000, 0.500, 0.500) and Au at (0.500, 0.500, 0.500).

The formation energy from the elements comes out at 4.907 eV per formula unit. The total magnetization comes out at 4.37 Bohr magnetons per cell.

***

Entry from Alexandria via LeMat-Bulk: crystalline TlAuBr2 at its relaxed geometry (PBE).

The space group is Cmmm (No. 65) and the conventional cell measures 4.234, 7.602 and 8.321 Å, with angles of 90.00, 90.00 and 90.00 degrees. Symmetry generates all atoms from Tl at (0.000, 0.000, 0.000), Au at (0.000, 0.000, 0.500) and Br at (0.000, 0.500, 0.286).

The excess energy over the best structure of this formula in the dataset is 238 meV/atom. The total magnetization comes out at 0.00 Bohr magnetons per cell.

***

Entry from Alexandria via LeMat-Bulk: crystalline NaTlO3 at its relaxed geometry (PBE).

The space group is Pm-3m (No. 221) and the conventional cell measures 4.223, 4.223 and 4.223 Å, with angles of 90.00, 90.00 and 90.00 degrees. Symmetry generates all atoms from Na at (0.000, 0.000, 0.000), Tl at (0.500, 0.500, 0.500) and O at (0.000, 0.500, 0.500).

The calculation puts the final energy at -3.9580 eV per atom. The total magnetization comes out at 1.12 Bohr magnetons per cell.

***

Entry from Alexandria via LeMat-Bulk: crystalline ErSbRh2 at its relaxed geometry (PBE).

The space group is P4/mmm (No. 123) and the conventional cell measures 3.471, 3.471 and 6.230 Å, with angles of 90.00, 90.00 and 90.00 degrees. Symmetry generates all atoms from Er at (0.000, 0.000, 0.000), Sb at (0.000, 0.000, 0.500) and Rh at (0.500, 0.500, 0.262).

The calculation puts the final energy at -6.4777 eV per atom. The total magnetization comes out at 0.00 Bohr magnetons per cell.

***

Entry from Alexandria via LeMat-Bulk: crystalline DyErScIr at its relaxed geometry (PBE).

The space group is F-43m (No. 216) and the conventional cell measures 7.091, 7.091 and 7.091 Å, with angles of 90.00, 90.00 and 90.00 degrees. Symmetry generates all atoms from Dy at (0.000, 0.000, 0.000), Er at (0.000, 0.000, 0.500), Sc at (0.250, 0.250, 0.250) and Ir at (0.250, 0.250, 0.750).

The formation energy from the elements comes out at -1.134 eV per formula unit. The total magnetization comes out at 1.63 Bohr magnetons per cell.

***

Entry from Alexandria via LeMat-Bulk: crystalline Cs2TaTeF6 at its relaxed geometry (PBE).

The space group is I4/mmm (No. 139) and the conventional cell measures 7.442, 7.442 and 10.812 Å, with angles of 90.00, 90.00 and 90.00 degrees. Symmetry generates all atoms from Cs at (0.000, 0.500, 0.250), Ta at (0.000, 0.000, 0.000), Te at (0.000, 0.000, 0.500), F at (0.000, 0.000, 0.178) and F at (0.183, 0.183, 0.000).

The calculation puts the final energy at -5.3787 eV per atom. The total magnetization comes out at 2.00 Bohr magnetons per cell.

***

Entry from Alexandria via LeMat-Bulk: crystalline Zn4Rh at its relaxed geometry (PBE).

The space group is I4/mmm (No. 139) and the conventional cell measures 3.408, 3.408 and 13.240 Å, with angles of 90.00, 90.00 and 90.00 degrees. Symmetry generates all atoms from Zn at (0.000, 0.000, 0.093), Zn at (0.000, 0.500, 0.250) and Rh at (0.000, 0.000, 0.500).

The formation energy from the elements comes out at 0.240 eV per formula unit. The total magnetization comes out at 0.00 Bohr magnetons per cell.

***

Entry from Alexandria via LeMat-Bulk: crystalline CdCu2Ru at its relaxed geometry (PBE).

The space group is R3m (No. 160, hexagonal axes) and the conventional cell measures 2.7633, 2.7633 and 26.5987 Å, with angles of 90.00, 90.00 and 120.00 degrees. Symmetry generates all atoms from Cd at (0.0000, 0.0000, 0.0000), Cu at (0.0000, 0.0000, 0.4957), Cu at (0.0000, 0.0000, 0.7550) and Ru at (0.0000, 0.0000, 0.2410).

The formation energy from the elements comes out at 1.055 eV per formula unit. The total magnetization comes out at 1.17 Bohr magnetons per cell.

***

Entry from Alexandria via LeMat-Bulk: crystalline CaSb2Rh3 at its relaxed geometry (PBE).

The space group is C2/m (No. 12) and the conventional cell measures 17.318, 4.211 and 10.256 Å, with angles of 90.00, 107.29 and 90.00 degrees. Symmetry generates all atoms from Ca at (0.000, 0.000, 0.000), Ca at (0.166, 0.000, 0.709), Sb at (0.040, 0.500, 0.782), Sb at (0.140, 0.500, 0.460), Sb at (0.190, 0.000, 0.125), Rh at (0.000, 0.500, 0.500), Rh at (0.041, 0.000, 0.330), Rh at (0.117, 0.500, 0.201), Rh at (0.183, 0.500, 0.963) and Rh at (0.213, 0.000, 0.393).

The calculation puts the final energy at -6.0126 eV per atom. The total magnetization comes out at 0.00 Bohr magnetons per cell.

***

What did the fourth record say?
Entry from Alexandria via LeMat-Bulk: crystalline CrNiPb2Au at its relaxed geometry (PBE).

The space group is P4/mmm (No. 123) and the conventional cell measures 5.470, 5.470 and 4.809 Å, with angles of 90.00, 90.00 and 90.00 degrees. Symmetry generates all atoms from Cr at (0.000, 0.000, 0.000), Ni at (0.500, 0.500, 0.000), Pb at (0.000, 0.500, 0.500) and Au at (0.500, 0.500, 0.500).

The formation energy from the elements comes out at 4.907 eV per formula unit. The total magnetization comes out at 4.37 Bohr magnetons per cell.

***

Which formula does entry 5 have?
TlAuBr2